## AcZnCu (PBE-GGA)

Data for an optimized crystal structure of AcZnCu.

- space-group type = F-43m
- energy relative to the elements (meV per atom) = -63.3
- DOS at the Fermi energy (states/eV/cell) = 2.71
- ΔE to the lowest computed polymorph (eV/atom) = 0.184
- total moment (μB/cell) = 0.00

abc: 4.8240 4.8240 4.8240
angles: 60.00 60.00 60.00
Positions (direct):
Zn: 0.5000 0.5000 0.5000
Cu: 0.2500 0.2500 0.2500
Ac: 0.0000 0.0000 0.0000